Record 1
Crystalline InAu17 at its relaxed geometry. Source: OQMD via LeMat-Bulk, functional PBE.

Cell lengths 5.7882, 5.7882, 33.3444 Å; angles 90.00, 90.00, 120.00 degrees
Element x y z (fractional)
Au 0.3333 0.1666 0.7971
Au 0.6664 0.8332 0.4265
Au 0.8333 0.1667 0.3528
Au 0.1667 0.8333 0.6472
Au 0.5007 0.4993 0.2788
Au 0.1667 0.3335 0.6472
Au 0.0000 0.0000 0.5000
Au 0.0014 0.5007 0.7212
In 0.3333 0.6667 0.8057
Au 0.0000 0.0000 0.7211
Au 0.5000 0.5000 0.5000
Au 0.1666 0.3333 0.2029
Au 0.3335 0.1667 0.3528
Au 0.6667 0.3333 0.4263
Au 0.3333 0.6667 0.3531
Au 0.4993 0.5007 0.7212
Au 0.8333 0.6665 0.3528
Au 0.1668 0.3336 0.4265
Au 0.3333 0.6667 0.5737
Au 0.6665 0.8333 0.6472
Au 0.5000 0.0000 0.5000
Au 0.8334 0.1666 0.7971
Au 0.8332 0.6664 0.5735
Au 0.1666 0.8334 0.2029
Au 0.6667 0.8334 0.2029
Au 0.9986 0.4993 0.2788
Au 0.4993 0.9986 0.7212
Au 0.1668 0.8332 0.4265
In 0.6667 0.3333 0.1943
Au 0.6667 0.3333 0.6469
Au 0.0000 0.5000 0.5000
Au 0.8332 0.1668 0.5735
Au 0.5007 0.0014 0.2788
Au 0.8334 0.6667 0.7971
Au 0.3336 0.1668 0.5735
Au 0.0000 0.0000 0.2789

Calculated values
Space group   P-3m1 (164)
Uncorrected energy   -3.220 eV/atom
Distance to the lowest polymorph of the same formula   0 meV/atom

=====

Record 2
Crystalline Ho3Mg3TlAgIr at its relaxed geometry. Source: OQMD via LeMat-Bulk, functional PBE.

Cell lengths 7.9152, 7.9152, 3.8603 Å; angles 90.00, 90.00, 120.00 degrees
Element x y z (fractional)
Ag 0.0000 0.0000 0.0000
Tl 0.3333 0.6667 0.5000
Ho 0.9592 0.3918 0.0000
Ho 0.6082 0.5673 0.0000
Ir 0.6667 0.3333 0.5000
Ho 0.4327 0.0408 0.0000
Mg 0.7458 0.0003 0.5000
Mg 0.9997 0.7455 0.5000
Mg 0.2545 0.2542 0.5000

Calculated values
Space group   P-6 (174)
Uncorrected energy   -4.068 eV/atom

=====

Record 3
Crystalline HfNbCoSi2 at its relaxed geometry. Source: OQMD via LeMat-Bulk, functional PBE.

Cell lengths 5.1866, 5.1866, 9.2364 Å; angles 117.03, 117.03, 43.49 degrees
Element x y z (fractional)
Si 0.6456 0.6456 0.5754
Hf 0.9936 0.9936 0.3208
Nb 0.8120 0.8120 0.9018
Si 0.3544 0.3544 0.4246
Hf 0.0064 0.0064 0.6792
Si 0.5177 0.5177 0.8820
Co 0.7209 0.7209 0.3730
Nb 0.1880 0.1880 0.0982
Si 0.4823 0.4823 0.1180
Co 0.2791 0.2791 0.6270

Calculated values
Space group   C2/m (12)
Uncorrected energy   -8.370 eV/atom

=====

Record 4
Crystalline BaUTc at its relaxed geometry. Source: OQMD via LeMat-Bulk, functional PBE.

Cell lengths 4.7947, 4.7947, 4.7947 Å; angles 60.00, 60.00, 60.00 degrees
Element x y z (fractional)
Tc 0.7500 0.7500 0.7500
Ba 0.2500 0.2500 0.2500
U 0.0000 0.0000 0.0000

Calculated values
Space group   F-43m (216)
Uncorrected energy   -6.404 eV/atom
Distance to the lowest polymorph of the same formula   0 meV/atom

=====

Record 5
Crystalline Tb2Pb at its relaxed geometry. Source: OQMD via LeMat-Bulk, functional PBE.

Cell lengths 6.3399, 6.3399, 6.3399 Å; angles 60.00, 60.00, 60.00 degrees
Element x y z (fractional)
Tb 0.6250 0.6250 0.6250
Tb 0.1250 0.6250 0.6250
Tb 0.6250 0.6250 0.1250
Pb 0.2500 0.2500 0.2500
Pb 0.0000 0.0000 0.0000
Tb 0.6250 0.1250 0.6250

Calculated values
Space group   Fd-3m (227)
Uncorrected energy   -4.251 eV/atom

=====

Record 6
Crystalline PmThOs at its relaxed geometry. Source: OQMD via LeMat-Bulk, functional PBE.

Cell lengths 4.8400, 4.8400, 4.8400 Å; angles 60.00, 60.00, 60.00 degrees
Element x y z (fractional)
Pm 0.7500 0.7500 0.7500
Os 0.2500 0.2500 0.2500
Th 0.0000 0.0000 0.0000

Calculated values
Space group   F-43m (216)
Uncorrected energy   -7.137 eV/atom

=====

Record 7
Crystalline K2MgAuF6 at its relaxed geometry. Source: OQMD via LeMat-Bulk, functional PBE.

Cell lengths 5.7008, 6.0681, 9.7243 Å; angles 90.00, 125.40, 90.00 degrees
Element x y z (fractional)
F 0.1341 0.7370 0.4577
F 0.2509 0.3202 0.9703
Au 0.5000 0.0000 0.0000
K 0.2311 0.9524 0.2455
F 0.6852 0.4774 0.7556
F 0.7491 0.6798 0.0297
F 0.1341 0.7630 0.9577
F 0.8659 0.2370 0.0423
Mg 0.0000 0.0000 0.5000
K 0.7689 0.4524 0.2545
K 0.2311 0.5476 0.7455
F 0.2509 0.1798 0.4703
F 0.7491 0.8202 0.5297
Au 0.5000 0.5000 0.5000
F 0.6852 0.0226 0.2556
F 0.3148 0.5226 0.2444
K 0.7689 0.0476 0.7545
Mg 0.0000 0.5000 0.0000
F 0.3148 0.9774 0.7444
F 0.8659 0.2630 0.5423

Calculated values
Space group   P2_1/c (14)
Uncorrected energy   -4.178 eV/atom

=====

Record 8
Crystalline GdTmZnNi2 at its relaxed geometry. Source: OQMD via LeMat-Bulk, functional PBE.

Cell lengths 5.2700, 5.2700, 5.2700 Å; angles 132.50, 118.74, 81.00 degrees
Element x y z (fractional)
Zn 0.0000 0.0000 0.0000
Ni 0.2709 0.5001 0.7708
Gd 0.2962 0.7962 0.5000
Tm 0.7035 0.2035 0.5000
Ni 0.7294 0.5001 0.2292

Calculated values
Space group   Imm2 (44)
Uncorrected energy   -4.781 eV/atom

=====

Record 9
Crystalline Ho3Ga9Pt2 at its relaxed geometry. Source: OQMD via LeMat-Bulk, functional PBE.

Cell lengths 8.2075, 8.2075, 8.2075 Å; angles 150.34, 104.71, 82.94 degrees
Element x y z (fractional)
Ho 0.5000 0.5000 0.0000
Ga 0.9123 0.6317 0.2806
Ga 0.6489 0.3683 0.2806
Pt 0.7766 0.0000 0.7766
Ga 0.0000 0.5000 0.5000
Ga 0.4579 0.8333 0.6246
Ga 0.0877 0.3683 0.7194
Ho 0.8220 0.8220 0.0000
Pt 0.2234 0.0000 0.2234
Ga 0.7912 0.1667 0.6246
Ga 0.5421 0.1667 0.3754
Ga 0.2088 0.8333 0.3754
Ho 0.1780 0.1780 0.0000
Ga 0.3511 0.6317 0.7194

Calculated values
Space group   Immm (71)
Uncorrected energy   -4.474 eV/atom

=====

Record 10
Crystalline Zr2CdB at its relaxed geometry. Source: OQMD via LeMat-Bulk, functional PBE.

Cell lengths 4.7103, 4.7103, 4.7103 Å; angles 60.00, 60.00, 60.00 degrees
Each line ends with the local moment (μB).
Element x y z (fractional)
Zr 0.7500 0.7500 0.7500  0.67
Zr 0.0000 0.0000 0.0000  0.79
B 0.5000 0.5000 0.5000  -0.02
Cd 0.2500 0.2500 0.2500  0.03

Calculated values
Space group   F-43m (216)
Uncorrected energy   -5.211 eV/atom
Distance to the lowest polymorph of the same formula   1250 meV/atom

=====

Record 11
Crystalline GdMgTeAuS2 at its relaxed geometry. Source: OQMD via LeMat-Bulk, functional PBE.

Cell lengths 7.1361, 7.1361, 10.9014 Å; angles 90.00, 90.00, 148.83 degrees
Element x y z (fractional)
Gd 0.0000 0.0000 0.5000
S 0.3648 0.6352 0.0774
Te 0.1332 0.8668 0.2500
Te 0.8668 0.1332 0.7500
S 0.6352 0.3648 0.9226
Mg 0.8115 0.1885 0.2500
Gd 0.0000 0.0000 0.0000
S 0.6352 0.3648 0.5774
Au 0.4859 0.5141 0.2500
S 0.3648 0.6352 0.4226
Au 0.5141 0.4859 0.7500
Mg 0.1885 0.8115 0.7500

Calculated values
Space group   Cmcm (63)
Uncorrected energy   -4.503 eV/atom

=====

Record 12
Crystalline Hf2ScAs at its relaxed geometry. Source: OQMD via LeMat-Bulk, functional PBE.

Cell lengths 4.8208, 4.8208, 4.8208 Å; angles 60.00, 60.00, 60.00 degrees
Each line ends with the local moment (μB).
Element x y z (fractional)
Sc 0.2500 0.2500 0.2500  0.13
As 0.5000 0.5000 0.5000  -0.01
Hf 0.0000 0.0000 0.0000  0.62
Hf 0.7500 0.7500 0.7500  0.32

Calculated values
Space group   F-43m (216)
Uncorrected energy   -7.765 eV/atom